No. 1
Entry from Alexandria via LeMat-Bulk: a relaxed SrCrReH2 crystal (PBE-GGA).

Geometry as CIF:
```
data_SrCrReH2
_symmetry_space_group_name_H-M 'P 4/m m m'
_symmetry_Int_Tables_number 123
_symmetry_space_group_name_Hall '-P 4 2'
_cell_length_a 3.666
_cell_length_b 3.666
_cell_length_c 6.219
_cell_angle_alpha 90.00
_cell_angle_beta 90.00
_cell_angle_gamma 90.00
loop_
_atom_site_label
_atom_site_type_symbol
_atom_site_fract_x
_atom_site_fract_y
_atom_site_fract_z
Sr1 Sr 0.000 0.000 0.000
Cr1 Cr 0.000 0.000 0.500
Re1 Re 0.500 0.500 0.500
H1 H 0.000 0.500 0.000
```


No. 2
Entry from Alexandria via LeMat-Bulk: a relaxed UBePtC crystal (PBE-GGA).

Geometry as CIF:
```
data_UBePtC
_symmetry_space_group_name_H-M 'P 4/n m m'
_symmetry_Int_Tables_number 129
_cell_length_a 3.761
_cell_length_b 3.761
_cell_length_c 8.000
_cell_angle_alpha 90.00
_cell_angle_beta 90.00
_cell_angle_gamma 90.00
loop_
_symmetry_equiv_pos_as_xyz
'x,y,z'
'-x,-y,-z'
'-y+1/2,x,z'
'y+1/2,-x,-z'
'-x+1/2,-y+1/2,z'
'x+1/2,y+1/2,-z'
'y,-x+1/2,z'
'-y,x+1/2,-z'
'x+1/2,-y,-z'
'-x+1/2,y,z'
'-y,-x,-z'
'y,x,z'
'-x,y+1/2,-z'
'x,-y+1/2,z'
'y+1/2,x+1/2,-z'
'-y+1/2,-x+1/2,z'
loop_
_atom_site_label
_atom_site_type_symbol
_atom_site_fract_x
_atom_site_fract_y
_atom_site_fract_z
U1 U 0.250 0.250 0.161
Be1 Be 0.250 0.250 0.666
Pt1 Pt 0.250 0.750 0.500
C1 C 0.250 0.250 0.882
```


Number 1: total energy -22.403 eV/cell. Number 2: total energy -63.585 eV/cell.